Here is a geometry-optimized Na3ErNp2Te6 structure from the Alexandria database. Energies are from GGA-PBE.

The value obtained for the total magnetization is 16.0 Bohr magnetons per cell. The electronic total energy is -5.40 eV/atom. Its energy relative to the elements, uncorrected is -967 meV/atom. As for the density of states at the Fermi level: 1.63 states/eV/atom.

The space group is C2/m (No. 12) and the conventional cell measures 7.7253, 13.3822 and 7.9619 Å, with angles of 90.00, 108.88 and 90.00 degrees. The inequivalent atoms are Na at (0.0000, 0.0000, 0.0000), Na at (0.0000, 0.3324, 0.0000), Er at (0.0000, 0.5000, 0.5000), Np at (0.0000, 0.1666, 0.5000), Te at (0.2421, 0.3358, 0.7337) and Te at (0.2495, 0.0000, 0.7334).

Here is a geometry-optimized AlOs3W structure from the Alexandria database. Energies are from GGA-PBE.

Its energy relative to the elements is 10.8 eV per formula unit. The value obtained for the total magnetization is 0.0 Bohr magnetons per cell. The electronic total energy is -7.92 eV/atom. The excess energy over the best structure of this formula in the dataset comes out at 589 meV per atom. As for the density of states at the Fermi level: 1.02 states/eV/atom.

The space group is Pm-3m (No. 221) and the conventional cell measures 4.7053, 4.7053 and 4.7053 Å, with angles of 90.00, 90.00 and 90.00 degrees. The inequivalent atoms are Al at (0.0000, 0.0000, 0.0000), Os at (0.0000, 0.5000, 0.5000) and W at (0.5000, 0.5000, 0.5000).

Here is a geometry-optimized Tb4Bi2Pb structure from the Alexandria database. Energies are from GGA-PBE.

Its energy relative to the elements is -3.6 eV per formula unit. The value obtained for the total magnetization is 0.0 Bohr magnetons per cell. The electronic total energy is -4.80 eV/atom. As for the density of states at the Fermi level: 0.80 states/eV/atom.

The space group is I4_1/amd (No. 141, origin choice 2) and the conventional cell measures 9.8441, 9.8441 and 9.6470 Å, with angles of 90.00, 90.00 and 90.00 degrees. The inequivalent atoms are Tb at (0.0000, 0.0605, 0.1874), Bi at (0.0000, 0.0000, 0.5000) and Pb at (0.0000, 0.2500, 0.8750).

Here is a geometry-optimized GdNbRuRh structure from the Alexandria database. Energies are from GGA-PBE.

Its energy relative to the elements is -1.2 eV per formula unit. The value obtained for the total magnetization is 27.5 Bohr magnetons per cell. The electronic total energy is -10.49 eV/atom. As for the density of states at the Fermi level: 0.76 states/eV/atom.

The space group is F-43m (No. 216) and the conventional cell measures 6.6104, 6.6104 and 6.6104 Å, with angles of 90.00, 90.00 and 90.00 degrees. The inequivalent atoms are Gd at (0.0000, 0.0000, 0.0000), Nb at (0.0000, 0.0000, 0.5000), Ru at (0.2500, 0.2500, 0.2500) and Rh at (0.2500, 0.2500, 0.7500).

Here is a geometry-optimized K2BaSnP structure from the Alexandria database. Energies are from GGA-PBE.

Its energy relative to the elements is -0.5 eV per formula unit. The value obtained for the total magnetization is 2.5 Bohr magnetons per cell. The electronic total energy is -2.80 eV/atom. As for the density of states at the Fermi level: 0.82 states/eV/atom.

The space group is P4/mmm (No. 123) and the conventional cell measures 6.1752, 6.1752 and 6.0934 Å, with angles of 90.00, 90.00 and 90.00 degrees. The inequivalent atoms are K at (0.0000, 0.5000, 0.0000), Ba at (0.0000, 0.0000, 0.5000), Sn at (0.5000, 0.5000, 0.5000) and P at (0.0000, 0.0000, 0.0000).

Here is a geometry-optimized SrNi2Os structure from the Alexandria database. Energies are from GGA-PBE.

Its energy relative to the elements is 3.5 eV per formula unit. The value obtained for the total magnetization is 4.7 Bohr magnetons per cell. The electronic total energy is -5.25 eV/atom. The excess energy over the best structure of this formula in the dataset comes out at 776 meV per atom. As for the density of states at the Fermi level: 1.02 states/eV/atom.

The space group is I-4m2 (No. 119) and the conventional cell measures 3.9117, 3.9117 and 8.7640 Å, with angles of 90.00, 90.00 and 90.00 degrees. The inequivalent atoms are Sr at (0.0000, 0.0000, 0.0000), Ni at (0.0000, 0.0000, 0.5000), Ni at (0.0000, 0.5000, 0.7500) and Os at (0.0000, 0.5000, 0.2500).

Here is a geometry-optimized ZnOs2Rh structure from the Alexandria database. Energies are from GGA-PBE.

Its energy relative to the elements is 1.1 eV per formula unit. The value obtained for the total magnetization is 0.0 Bohr magnetons per cell. The electronic total energy is -7.50 eV/atom. As for the density of states at the Fermi level: 1.17 states/eV/atom.

The space group is Pmmm (No. 47) and the conventional cell measures 2.7546, 4.0141 and 5.1606 Å, with angles of 90.00, 90.00 and 90.00 degrees. The inequivalent atoms are Zn at (0.0000, 0.0000, 0.0000), Os at (0.5000, 0.5000, 0.2449) and Rh at (0.0000, 0.0000, 0.5000).

Here is a geometry-optimized Ba2HgRh structure from the Alexandria database. Energies are from GGA-PBE.

Its energy relative to the elements is -1.3 eV per formula unit. The value obtained for the total magnetization is 0.0 Bohr magnetons per cell. The electronic total energy is -3.20 eV/atom. As for the density of states at the Fermi level: 0.52 states/eV/atom.

The space group is P2_1/m (No. 11) and the conventional cell measures 6.7511, 4.6434 and 9.3093 Å, with angles of 90.00, 111.24 and 90.00 degrees. The inequivalent atoms are Ba at (0.2147, 0.2500, 0.4448), Ba at (0.2286, 0.2500, 0.9135), Hg at (0.3534, 0.7500, 0.2159) and Rh at (0.3777, 0.7500, 0.7203).

Here is a geometry-optimized TaSnAsPd2 structure from the Alexandria database. Energies are from GGA-PBE.

Its energy relative to the elements is 6.0 eV per formula unit. The value obtained for the total magnetization is 2.2 Bohr magnetons per cell. The electronic total energy is -4.97 eV/atom. As for the density of states at the Fermi level: 0.86 states/eV/atom.

The space group is P4/mmm (No. 123) and the conventional cell measures 4.8437, 4.8437 and 5.0933 Å, with angles of 90.00, 90.00 and 90.00 degrees. The inequivalent atoms are Ta at (0.0000, 0.0000, 0.0000), Sn at (0.5000, 0.5000, 0.5000), As at (0.5000, 0.5000, 0.0000) and Pd at (0.0000, 0.5000, 0.5000).

Here is a geometry-optimized ScRu2Rh structure from the Alexandria database. Energies are from GGA-PBE.

Its energy relative to the elements is -0.1 eV per formula unit. The value obtained for the total magnetization is 0.0 Bohr magnetons per cell. The electronic total energy is -8.08 eV/atom. As for the density of states at the Fermi level: 0.89 states/eV/atom.

The space group is Fm-3m (No. 225) and the conventional cell measures 6.2649, 6.2649 and 6.2649 Å, with angles of 90.00, 90.00 and 90.00 degrees. The inequivalent atoms are Sc at (0.0000, 0.0000, 0.0000), Ru at (0.2500, 0.2500, 0.2500) and Rh at (0.0000, 0.0000, 0.5000).

Here is a geometry-optimized BMo3Se structure from the Alexandria database. Energies are from GGA-PBE.

The value obtained for the total magnetization is 0.0 Bohr magnetons per cell. The electronic total energy is -7.98 eV/atom. The excess energy over the best structure of this formula in the dataset comes out at 0 meV per atom. Its energy relative to the elements, uncorrected is 549 meV/atom. As for the density of states at the Fermi level: 1.40 states/eV/atom.

The space group is Pm-3m (No. 221) and the conventional cell measures 4.2453, 4.2453 and 4.2453 Å, with angles of 90.00, 90.00 and 90.00 degrees. The inequivalent atoms are B at (0.0000, 0.0000, 0.0000), Mo at (0.0000, 0.0000, 0.5000) and Se at (0.5000, 0.5000, 0.5000).

Here is a geometry-optimized AlCoCl structure from the Alexandria database. Energies are from GGA-PBE.

The value obtained for the total magnetization is 4.3 Bohr magnetons per cell. The electronic total energy is -3.56 eV/atom. The excess energy over the best structure of this formula in the dataset comes out at 768 meV per atom. Its energy relative to the elements, uncorrected is 670 meV/atom. As for the density of states at the Fermi level: 1.19 states/eV/atom.

The space group is F-43m (No. 216) and the conventional cell measures 6.0630, 6.0630 and 6.0630 Å, with angles of 90.00, 90.00 and 90.00 degrees. The inequivalent atoms are Al at (0.0000, 0.0000, 0.0000), Co at (0.2500, 0.2500, 0.2500) and Cl at (0.2500, 0.2500, 0.7500).

Look up the electronic total energy of the eleventh one. -7.98 eV/atom

The lowest electronic total energy belongs to which entry? GdNbRuRh

The lowest electronic total energy belongs to which entry? GdNbRuRh